{
  "formula": "YZnCu3",
  "functional": "GGA-PBE",
  "state": "relaxed",
  "cell": [[-2.515, 3.529, 4.626], [2.515, -3.529, 4.626], [2.515, 3.529, -4.626]],
  "species": ["Y", "Y", "Zn", "Zn", "Cu", "Cu", "Cu", "Cu", "Cu", "Cu"],
  "frac_coords": [[0.256, 0.006, 0.250], [0.744, 0.994, 0.750], [0.000, 0.500, 0.500], [0.500, 0.500, 0.000], [0.194, 0.000, 0.694], [0.194, 0.500, 0.194], [0.439, 0.689, 0.750], [0.561, 0.311, 0.250], [0.806, 0.000, 0.306], [0.806, 0.500, 0.806]],
  "rho_g_cm3": 7.0,
  "relative_energy_kcal_per_mol_atoms": 0.58,
  "delta_e_f_ev_per_atom": -0.141
}